Entry 1:
Compound: UOsRuRh
Source: the Alexandria database
Functional: GGA-PBE
Structure: optimized geometry

Cell lengths 3.9634, 4.0350, 4.0440 Å; angles 90.00, 90.00, 90.00 degrees
Positions (direct):
U 0.0000 0.0000 0.0000
Os 0.5000 0.0000 0.5000
Ru 0.5000 0.5000 0.0000
Rh 0.0000 0.5000 0.5000

## Properties
space-group type: Pmmm (47)
energy of formation from the pure elements: -0.3868 eV/atom
V: 16.17 Å³/atom
mass density: 16.23 g/cm³
raw total energy: -40.69 eV per cell



Entry 2:
Compound: CsScNbB2
Source: the Alexandria database
Functional: GGA-PBE
Structure: optimized geometry

Cell lengths 4.4395, 4.4395, 5.4651 Å; angles 90.00, 90.00, 90.00 degrees
Positions (direct):
Cs 0.0000 0.0000 0.0000
Sc 0.5000 0.5000 0.0000
Nb 0.0000 0.0000 0.5000
B 0.0000 0.5000 0.5000
B 0.5000 0.0000 0.5000

## Properties
space-group type: P4/mmm (123)
energy of formation from the pure elements: 1.6566 eV/atom
V: 21.54 Å³/atom
mass density: 4.51 g/cm³
raw total energy: -22.33 eV per cell



Entry 3:
Compound: ZnCrPd3
Source: the Alexandria database
Functional: GGA-PBE
Structure: optimized geometry

Cell lengths 4.6348, 4.6348, 4.6348 Å; angles 90.00, 90.00, 90.00 degrees
Positions (direct):
Zn 0.0000 0.0000 0.0000
Cr 0.5000 0.5000 0.5000
Pd 0.0000 0.5000 0.5000
Pd 0.5000 0.0000 0.5000
Pd 0.5000 0.5000 0.0000

## Properties
space-group type: Pm-3m (221)
energy of formation from the pure elements: 0.7927 eV/atom
V: 19.91 Å³/atom
mass density: 7.28 g/cm³
raw total energy: -22.51 eV per cell



Entry 4:
Compound: TiFe2HOs
Source: the Alexandria database
Functional: GGA-PBE
Structure: optimized geometry

Cell lengths 3.7166, 3.7166, 3.8984 Å; angles 90.00, 90.00, 90.00 degrees
Positions (direct):
Ti 0.0000 0.0000 0.0000
Fe 0.0000 0.5000 0.5000
Fe 0.5000 0.0000 0.5000
H 0.5000 0.5000 0.5000
Os 0.5000 0.5000 0.0000

## Properties
space-group type: P4/mmm (123)
V: 10.77 Å³/atom
mass density: 10.82 g/cm³
raw total energy: -39.86 eV per cell



Entry 5:
Compound: Ac2La3PrSe6
Source: the Alexandria database
Functional: GGA-PBE
Structure: optimized geometry

Cell lengths 7.5523, 7.5523, 7.5519 Å; angles 99.62, 99.62, 120.12 degrees
Positions (direct):
Ac 0.1660 0.8340 0.0000
Ac 0.8340 0.1660 0.0000
La 0.0000 0.0000 0.5000
La 0.3318 0.6682 0.5000
La 0.6682 0.3318 0.5000
Pr 0.5000 0.5000 0.0000
Se 0.0875 0.4153 0.7449
Se 0.2587 0.2587 0.2576
Se 0.4153 0.0875 0.7449
Se 0.5847 0.9125 0.2551
Se 0.7413 0.7413 0.7424
Se 0.9125 0.5847 0.2551

## Properties
space-group type: C2/m (12)
V: 29.25 Å³/atom
mass density: 7.03 g/cm³
raw total energy: -71.85 eV per cell



Entry 6:
Compound: Ba6SiP2Br3
Source: the Alexandria database
Functional: GGA-PBE
Structure: optimized geometry

Cell lengths 8.2589, 8.2589, 8.5183 Å; angles 99.18, 99.18, 121.21 degrees
Positions (direct):
Ba 0.0885 0.4334 0.7863
Ba 0.2322 0.2322 0.2200
Ba 0.4334 0.0885 0.7863
Ba 0.5666 0.9115 0.2137
Ba 0.7678 0.7678 0.7800
Ba 0.9115 0.5666 0.2137
Si 0.5000 0.5000 0.0000
P 0.1635 0.8365 0.0000
P 0.8365 0.1635 0.0000
Br 0.0000 0.0000 0.5000
Br 0.3319 0.6681 0.5000
Br 0.6681 0.3319 0.5000

## Properties
space-group type: C2/m (12)
V: 39.16 Å³/atom
mass density: 4.08 g/cm³
raw total energy: -48.87 eV per cell



Entry 7:
Compound: TmMg4In2
Source: the Alexandria database
Functional: GGA-PBE
Structure: optimized geometry

Cell lengths 8.5562, 8.5562, 4.6355 Å; angles 90.00, 90.00, 90.00 degrees
Positions (direct):
Tm 0.0000 0.0000 0.0000
Tm 0.5000 0.5000 0.5000
Mg 0.1064 0.3524 0.5000
Mg 0.1476 0.6064 0.0000
Mg 0.3524 0.1064 0.5000
Mg 0.3936 0.8524 0.0000
Mg 0.6064 0.1476 0.0000
Mg 0.6476 0.8936 0.5000
Mg 0.8524 0.3936 0.0000
Mg 0.8936 0.6476 0.5000
In 0.1904 0.8096 0.5000
In 0.3096 0.3096 0.0000
In 0.6904 0.6904 0.0000
In 0.8096 0.1904 0.5000

## Properties
space-group type: P4_2/mnm (136)
energy of formation from the pure elements: -0.1199 eV/atom
V: 24.24 Å³/atom
mass density: 4.85 g/cm³
raw total energy: -34.33 eV per cell



Entry 8:
Compound: Cd2CoSe
Source: the Alexandria database
Functional: GGA-PBE
Structure: optimized geometry

Cell lengths 3.6160, 3.6160, 5.7580 Å; angles 90.00, 90.00, 90.00 degrees
Positions (direct):
Cd 0.0000 0.0000 0.2357
Cd 0.0000 0.0000 0.7643
Co 0.5000 0.5000 0.0000
Se 0.5000 0.5000 0.5000

## Properties
space-group type: P4/mmm (123)
V: 18.82 Å³/atom
mass density: 8.00 g/cm³
raw total energy: -11.47 eV per cell